This record from the Alexandria database describes a relaxed Cr2ClO crystal. The functional is PBE with a Hubbard U.

ΔE to the lowest computed polymorph in eV/atom: 0.000

Lattice parameters (Å, degrees): 5.3156 5.3156 11.0551 90.00 90.00 90.00
Last column: nearest neighbours and their distance in Å.
Space group I-42d (No. 122)
Unique sites:
Cr 0.1316 0.2500 0.1250  2 O 2.04
Cl 0.0000 0.0000 0.5000  4 Cr 2.74
O 0.0000 0.0000 0.0000  4 Cr 2.04